Entry i
First-principles (GGA-PBE) data for an optimized crystal structure of Tl2AuI, as listed in Alexandria via LeMat-Bulk.

POSCAR file:
```
Tl2AuI
1.0
-3.623 3.623 7.102
3.623 -3.623 7.102
3.623 3.623 -7.102
Tl Au I
4 2 2
Direct
0.068 0.625 0.943 Tl
0.375 0.318 0.443 Tl
0.682 0.125 0.057 Tl
0.875 0.932 0.557 Tl
0.000 0.000 0.000 Au
0.750 0.250 0.500 Au
0.250 0.750 0.500 I
0.500 0.500 0.000 I
```

Computed properties:
crystal system = tetragonal


Entry ii
First-principles (GGA-PBE) data for an optimized crystal structure of Tl2AuI, as listed in Alexandria via LeMat-Bulk.

POSCAR file:
```
Tl2AuI
1.0
2.339 1.350 7.249
-2.339 1.350 7.249
0.000 -2.701 7.249
Tl Au I
2 1 1
Direct
0.233 0.233 0.233 Tl
0.767 0.767 0.767 Tl
0.500 0.500 0.500 Au
0.000 0.000 0.000 I
```

Computed properties:
crystal system = trigonal


What is the most stable structure shown above? It is entry ii.